! Li5Ca2Cd2In, relaxed, DFT PBE; values from VASP
! formation enthalpy at 0 K: -17 kJ/mol of atoms
! density of states at the Fermi level: 10.75 states/eV/cell
! total DFT energy (no corrections): -1.989 eV/atom
! symmetry: P4/mbm, No. 127
&SYSTEM
  ibrav = 0, nat = 20, ntyp = 4
/
ATOMIC_SPECIES
Li 6.94 Li.upf
Ca 40.08 Ca.upf
Cd 112.41 Cd.upf
In 114.82 In.upf
CELL_PARAMETERS angstrom
10.792 0.000 0.000
0.000 10.792 0.000
0.000 0.000 4.107
ATOMIC_POSITIONS angstrom
Li 0.000 5.396 0.000
Li 0.652 2.129 0.000
Li 2.129 10.140 0.000
Li 3.267 4.744 0.000
Li 4.744 7.525 0.000
Li 5.396 0.000 0.000
Li 6.048 3.267 0.000
Li 7.525 6.048 0.000
Li 8.663 0.652 0.000
Li 10.140 8.663 0.000
Ca 1.928 7.325 2.054
Ca 3.468 1.928 2.054
Ca 7.325 8.864 2.054
Ca 8.864 3.468 2.054
Cd 1.259 4.137 2.054
Cd 4.137 9.534 2.054
Cd 6.655 1.259 2.054
Cd 9.534 6.655 2.054
In 0.000 0.000 2.054
In 5.396 5.396 2.054

=====

! Ca3Mg2Cd2In4, relaxed, DFT PBE; values from VASP
! formation enthalpy at 0 K: -25 kJ/mol of atoms
! density of states at the Fermi level: 5.34 states/eV/cell
! total DFT energy (no corrections): -2.255 eV/atom
! symmetry: P-3m1, No. 164
&SYSTEM
  ibrav = 0, nat = 11, ntyp = 4
/
ATOMIC_SPECIES
Ca 40.08 Ca.upf
Mg 24.30 Mg.upf
Cd 112.41 Cd.upf
In 114.82 In.upf
CELL_PARAMETERS angstrom
5.051 0.000 0.000
-2.526 4.374 0.000
0.000 0.000 13.724
ATOMIC_POSITIONS angstrom
Ca 0.000 0.000 0.000
Ca 0.000 0.000 3.668
Ca 0.000 0.000 10.056
Mg 0.000 2.916 7.944
Mg 2.526 1.458 5.780
Cd 0.000 2.916 1.877
Cd 2.526 1.458 11.847
In 0.000 2.916 5.019
In 0.000 2.916 12.014
In 2.526 1.458 1.710
In 2.526 1.458 8.705

=====

! CaMg2Cd2In2, relaxed, DFT PBE; values from VASP
! formation enthalpy at 0 K: -18 kJ/mol of atoms
! density of states at the Fermi level: 2.81 states/eV/cell
! total DFT energy (no corrections): -1.968 eV/atom
! symmetry: R-3m, No. 166
&SYSTEM
  ibrav = 0, nat = 7, ntyp = 4
/
ATOMIC_SPECIES
Ca 40.08 Ca.upf
Mg 24.30 Mg.upf
Cd 112.41 Cd.upf
In 114.82 In.upf
CELL_PARAMETERS angstrom
2.461 1.421 8.354
-2.461 1.421 8.354
0.000 -2.841 8.354
ATOMIC_POSITIONS angstrom
Ca 0.000 0.000 0.000
Mg 0.000 0.000 3.469
Mg 0.000 0.000 21.594
Cd 0.000 0.000 10.715
Cd 0.000 0.000 14.348
In 0.000 0.000 6.597
In 0.000 0.000 18.465

=====

! CaMg2CdIn2, relaxed, DFT PBE; values from VASP
! formation enthalpy at 0 K: -21 kJ/mol of atoms
! density of states at the Fermi level: 2.70 states/eV/cell
! total DFT energy (no corrections): -2.151 eV/atom
! symmetry: P-3m1, No. 164
&SYSTEM
  ibrav = 0, nat = 6, ntyp = 4
/
ATOMIC_SPECIES
Ca 40.08 Ca.upf
Mg 24.30 Mg.upf
Cd 112.41 Cd.upf
In 114.82 In.upf
CELL_PARAMETERS angstrom
5.088 0.000 0.000
-2.544 4.406 0.000
0.000 0.000 6.581
ATOMIC_POSITIONS angstrom
Ca 0.000 0.000 0.000
Mg 0.000 2.938 4.529
Mg 2.544 1.469 2.051
Cd 0.000 0.000 3.290
In 0.000 2.938 1.338
In 2.544 1.469 5.243

=====

! Ca4MgCd2In, relaxed, DFT PBE; values from VASP
! formation enthalpy at 0 K: -32 kJ/mol of atoms
! density of states at the Fermi level: 5.49 states/eV/cell
! total DFT energy (no corrections): -2.098 eV/atom
! symmetry: R-3m, No. 166
&SYSTEM
  ibrav = 0, nat = 8, ntyp = 4
/
ATOMIC_SPECIES
Ca 40.08 Ca.upf
Mg 24.30 Mg.upf
Cd 112.41 Cd.upf
In 114.82 In.upf
CELL_PARAMETERS angstrom
2.733 1.578 8.981
-2.733 1.578 8.981
0.000 -3.155 8.981
ATOMIC_POSITIONS angstrom
Ca 0.000 0.000 3.297
Ca 0.000 0.000 10.040
Ca 0.000 0.000 16.902
Ca 0.000 0.000 23.645
Mg 0.000 0.000 13.471
Cd 0.000 0.000 6.644
Cd 0.000 0.000 20.298
In 0.000 0.000 0.000

=====

! Ca2Mg3Cd12In, relaxed, DFT PBE; values from VASP
! formation enthalpy at 0 K: -3 kJ/mol of atoms
! density of states at the Fermi level: 9.55 states/eV/cell
! total DFT energy (no corrections): -1.282 eV/atom
! symmetry: R-3m, No. 166
&SYSTEM
  ibrav = 0, nat = 18, ntyp = 4
/
ATOMIC_SPECIES
Ca 40.08 Ca.upf
Mg 24.30 Mg.upf
Cd 112.41 Cd.upf
In 114.82 In.upf
CELL_PARAMETERS angstrom
3.040 1.755 14.736
-3.040 1.755 14.736
0.000 -3.510 14.736
ATOMIC_POSITIONS angstrom
Ca 0.000 0.000 6.559
Ca 0.000 0.000 37.648
Mg -1.520 -0.878 14.736
Mg -1.520 0.878 29.471
Mg 0.000 1.755 14.736
Cd 0.000 -1.813 12.295
Cd -1.545 -0.892 19.686
Cd -1.570 0.907 12.295
Cd -1.570 -0.907 31.912
Cd 0.000 -1.784 24.521
Cd -1.545 0.892 24.521
Cd 1.545 -0.892 19.686
Cd 0.000 1.784 19.686
Cd 1.570 0.907 12.295
Cd 1.570 -0.907 31.912
Cd 1.545 0.892 24.521
Cd 0.000 1.813 31.912
In 0.000 0.000 22.103

=====

! Ca4MgCdIn2, relaxed, DFT PBE; values from VASP
! formation enthalpy at 0 K: -36 kJ/mol of atoms
! density of states at the Fermi level: 3.85 states/eV/cell
! total DFT energy (no corrections): -2.377 eV/atom
! symmetry: R-3m, No. 166
&SYSTEM
  ibrav = 0, nat = 8, ntyp = 4
/
ATOMIC_SPECIES
Ca 40.08 Ca.upf
Mg 24.30 Mg.upf
Cd 112.41 Cd.upf
In 114.82 In.upf
CELL_PARAMETERS angstrom
2.733 1.578 8.908
-2.733 1.578 8.908
0.000 -3.155 8.908
ATOMIC_POSITIONS angstrom
Ca 0.000 0.000 3.280
Ca 0.000 0.000 9.966
Ca 0.000 0.000 16.759
Ca 0.000 0.000 23.445
Mg 0.000 0.000 13.363
Cd 0.000 0.000 0.000
In 0.000 0.000 6.587
In 0.000 0.000 20.138

=====

! CaMgCd2In2, relaxed, DFT PBE; values from VASP
! formation enthalpy at 0 K: -21 kJ/mol of atoms
! density of states at the Fermi level: 2.71 states/eV/cell
! total DFT energy (no corrections): -2.039 eV/atom
! symmetry: P-3m1, No. 164
&SYSTEM
  ibrav = 0, nat = 6, ntyp = 4
/
ATOMIC_SPECIES
Ca 40.08 Ca.upf
Mg 24.30 Mg.upf
Cd 112.41 Cd.upf
In 114.82 In.upf
CELL_PARAMETERS angstrom
5.042 0.000 0.000
-2.521 4.367 0.000
0.000 0.000 6.802
ATOMIC_POSITIONS angstrom
Ca 0.000 0.000 0.000
Mg 0.000 0.000 3.401
Cd 0.000 2.911 5.064
Cd 2.521 1.456 1.738
In 0.000 2.911 1.720
In 2.521 1.456 5.082

=====

! NaCaCdIn, relaxed, DFT PBE; values from VASP
! formation enthalpy at 0 K: -21 kJ/mol of atoms
! density of states at the Fermi level: 2.01 states/eV/cell
! total DFT energy (no corrections): -1.959 eV/atom
! symmetry: Cm, No. 8
! energy above the lowest structure with this stoichiometry: 0.05 eV per formula unit
&SYSTEM
  ibrav = 0, nat = 4, ntyp = 4
/
ATOMIC_SPECIES
Na 22.99 Na.upf
Ca 40.08 Ca.upf
Cd 112.41 Cd.upf
In 114.82 In.upf
CELL_PARAMETERS angstrom
4.675 -2.670 0.000
4.675 2.670 0.000
-3.041 0.000 4.389
ATOMIC_POSITIONS angstrom
Na 0.000 0.000 0.000
Ca 3.155 0.000 2.193
Cd 0.057 0.000 3.290
In 6.252 0.000 1.097

=====

! NaCaCdIn, relaxed, DFT PBE; values from VASP
! formation enthalpy at 0 K: -22 kJ/mol of atoms
! density of states at the Fermi level: 1.28 states/eV/cell
! total DFT energy (no corrections): -1.973 eV/atom
! symmetry: F-43m, No. 216
! energy above the lowest structure with this stoichiometry: 0.00 eV per formula unit
&SYSTEM
  ibrav = 0, nat = 4, ntyp = 4
/
ATOMIC_SPECIES
Na 22.99 Na.upf
Ca 40.08 Ca.upf
Cd 112.41 Cd.upf
In 114.82 In.upf
CELL_PARAMETERS angstrom
0.000 3.701 3.701
3.701 0.000 3.701
3.701 3.701 0.000
ATOMIC_POSITIONS angstrom
Na 0.000 0.000 0.000
Ca 1.850 1.850 1.850
Cd 5.551 5.551 5.551
In 3.701 3.701 3.701

=====

Copy entry 9 word for word.
! NaCaCdIn, relaxed, DFT PBE; values from VASP
! formation enthalpy at 0 K: -21 kJ/mol of atoms
! density of states at the Fermi level: 2.01 states/eV/cell
! total DFT energy (no corrections): -1.959 eV/atom
! symmetry: Cm, No. 8
! energy above the lowest structure with this stoichiometry: 0.05 eV per formula unit
&SYSTEM
  ibrav = 0, nat = 4, ntyp = 4
/
ATOMIC_SPECIES
Na 22.99 Na.upf
Ca 40.08 Ca.upf
Cd 112.41 Cd.upf
In 114.82 In.upf
CELL_PARAMETERS angstrom
4.675 -2.670 0.000
4.675 2.670 0.000
-3.041 0.000 4.389
ATOMIC_POSITIONS angstrom
Na 0.000 0.000 0.000
Ca 3.155 0.000 2.193
Cd 0.057 0.000 3.290
In 6.252 0.000 1.097

=====

The highest density of states at the Fermi level belongs to which entry? Li5Ca2Cd2In

=====

The highest formation enthalpy at 0 K belongs to which entry? Ca2Mg3Cd12In